DFT (PBE) results for a geometry-optimized LaPt2Pb structure.

Unit cell a=4.1997 b=4.1377 c=5.7861 alpha=90.00 beta=91.03 gamma=90.00
Sites, in units of the cell vectors:
La (0.0000, 0.0000, 0.0000)
Pt (0.0000, 0.0000, 0.5000)
Pt (0.5000, 0.5000, 0.0000)
Pb (0.5000, 0.5000, 0.5000)

space-group type	P2/m (10)
energy of formation from the pure elements	-0.626	eV per atom


DFT (PBE) results for a geometry-optimized PmDyLuMg structure.

Unit cell a=7.7801 b=7.7801 c=7.7801 alpha=90.00 beta=90.00 gamma=90.00
Sites, in units of the cell vectors:
Pm (0.0000, 0.0000, 0.0000)
Pm (0.0000, 0.5000, 0.5000)
Pm (0.5000, 0.0000, 0.5000)
Pm (0.5000, 0.5000, 0.0000)
Dy (0.0000, 0.0000, 0.5000)
Dy (0.0000, 0.5000, 0.0000)
Dy (0.5000, 0.0000, 0.0000)
Dy (0.5000, 0.5000, 0.5000)
Lu (0.2500, 0.2500, 0.2500)
Lu (0.2500, 0.7500, 0.7500)
Lu (0.7500, 0.2500, 0.7500)
Lu (0.7500, 0.7500, 0.2500)
Mg (0.2500, 0.2500, 0.7500)
Mg (0.2500, 0.7500, 0.2500)
Mg (0.7500, 0.2500, 0.2500)
Mg (0.7500, 0.7500, 0.7500)

space-group type	F-43m (216)
energy of formation from the pure elements	0.018	eV per atom


DFT (PBE) results for a geometry-optimized BaSr2SiO structure.

Unit cell a=5.0504 b=5.0504 c=5.9273 alpha=90.00 beta=90.00 gamma=90.00
Sites, in units of the cell vectors:
Ba (0.0000, 0.0000, 0.0000)
Sr (0.0000, 0.5000, 0.5000)
Sr (0.5000, 0.0000, 0.5000)
Si (0.5000, 0.5000, 0.0000)
O (0.5000, 0.5000, 0.5000)

space-group type	P4/mmm (123)
energy relative to the lowest polymorph listed for this composition	12.39	kcal/mol of atoms


DFT (PBE) results for a geometry-optimized CrCu3I structure.

Unit cell a=4.7660 b=4.7660 c=4.7660 alpha=90.00 beta=90.00 gamma=90.00
Sites, in units of the cell vectors:
Cr (0.0000, 0.0000, 0.0000)
Cu (0.0000, 0.0000, 0.5000)
Cu (0.0000, 0.5000, 0.0000)
Cu (0.5000, 0.0000, 0.0000)
I (0.5000, 0.5000, 0.5000)

space-group type	Pm-3m (221)
energy relative to the lowest polymorph listed for this composition	0.00	kcal/mol of atoms


DFT (PBE) results for a geometry-optimized TlTe2OsO8 structure.

Unit cell a=4.9662 b=5.6240 c=6.9027 alpha=99.91 beta=92.58 gamma=91.59
Sites, in units of the cell vectors:
Tl (0.0000, 0.0000, 0.0000)
Te (0.4910, 0.5751, 0.2511)
Te (0.5090, 0.4249, 0.7489)
Os (0.0000, 0.0000, 0.5000)
O (0.1604, 0.1592, 0.3178)
O (0.2467, 0.1534, 0.7298)
O (0.2521, 0.7373, 0.4480)
O (0.3012, 0.6516, 0.0257)
O (0.6988, 0.3484, 0.9743)
O (0.7479, 0.2627, 0.5520)
O (0.7533, 0.8466, 0.2702)
O (0.8396, 0.8408, 0.6822)

space-group type	P-1 (2)


DFT (PBE) results for a geometry-optimized LiBi3C structure.

Unit cell a=5.0503 b=5.0503 c=5.0503 alpha=90.00 beta=90.00 gamma=90.00
Sites, in units of the cell vectors:
Li (0.0000, 0.0000, 0.0000)
Bi (0.0000, 0.0000, 0.5000)
Bi (0.0000, 0.5000, 0.0000)
Bi (0.5000, 0.0000, 0.0000)
C (0.5000, 0.5000, 0.5000)

space-group type	Pm-3m (221)
energy of formation from the pure elements	1.500	eV per atom
energy relative to the lowest polymorph listed for this composition	16.46	kcal/mol of atoms


| no. | electronic total energy (eV per atom) |
| --- | --- |
| 1 | -5.805 |
| 2 | -3.849 |
| 3 | -3.818 |
| 4 | -3.532 |
| 5 | -5.851 |
| 6 | -3.056 |